# 1
Here is SrTeBr2 after structural relaxation from Alexandria via LeMat-Bulk. Energies are from GGA-PBEsol.

Output
Symmetry: P4mm (99)
Formation energy from raw total energies, kcal/mol of atoms: -24.3

Unit cell a=4.6578 b=4.6578 c=6.0534 alpha=90.00 beta=90.00 gamma=90.00
With the nearest neighbours (Å) after each atom.
Fractional positions:
Sr 0.0000 0.0000 0.0000  2 Br 2.98-3.08
Te 0.5000 0.5000 0.1555  1 Br 2.60
Br 0.0000 0.0000 0.4918  2 Sr 2.98-3.08
Br 0.5000 0.5000 0.7258  1 Te 2.60

# 2
Here is Sb2TeOsPb after structural relaxation from Alexandria via LeMat-Bulk. Energies are from GGA-PBEsol.

Output
Symmetry: P4/mmm (123)
Formation energy from raw total energies, kcal/mol of atoms: 50.3

Unit cell a=5.5620 b=5.5620 c=5.6018 alpha=90.00 beta=90.00 gamma=90.00
With the nearest neighbours (Å) after each atom.
Fractional positions:
Sb 0.0000 0.5000 0.0000  2 Pb 2.78
Sb 0.5000 0.0000 0.0000  2 Pb 2.78
Te 0.0000 0.0000 0.5000  2 Pb 2.80
Os 0.5000 0.5000 0.5000  4 Te 3.93, 8 Sb 3.95
Pb 0.0000 0.0000 0.0000  4 Sb 2.78, 2 Te 2.80

# 3
Here is LiAl3 after structural relaxation from Alexandria via LeMat-Bulk. Energies are from GGA-PBEsol.

Output
Symmetry: Pm-3m (221)
Formation energy from the elements, kcal/mol of atoms: -2.096

Unit cell a=4.0002 b=4.0002 c=4.0002 alpha=90.00 beta=90.00 gamma=90.00
With the nearest neighbours (Å) after each atom.
Fractional positions:
Li 0.0000 0.0000 0.0000  12 Al 2.83
Al 0.0000 0.5000 0.5000  8 Al 2.83, 4 Li 2.83
Al 0.5000 0.0000 0.5000  8 Al 2.83, 4 Li 2.83
Al 0.5000 0.5000 0.0000  8 Al 2.83, 4 Li 2.83

# 4
Here is K2AlW after structural relaxation from Alexandria via LeMat-Bulk. Energies are from GGA-PBEsol.

Output
Symmetry: P4/mmm (123)
Formation energy from the elements, kcal/mol of atoms: 36.774

Unit cell a=6.4647 b=6.4647 c=2.7197 alpha=90.00 beta=90.00 gamma=90.00
With the nearest neighbours (Å) after each atom.
Fractional positions:
K 0.0000 0.5000 0.0000  2 K 2.72
K 0.5000 0.0000 0.0000  2 K 2.72
Al 0.0000 0.0000 0.5000  2 Al 2.72
W 0.5000 0.5000 0.5000  2 W 2.72

# 5
Here is Zr2AlTe2 after structural relaxation from Alexandria via LeMat-Bulk. Energies are from GGA-PBEsol.

Output
Symmetry: I4/mmm (139)
Formation energy from raw total energies, kcal/mol of atoms: 2.5

Unit cell a=6.6435 b=6.6435 c=6.6435 alpha=135.87 beta=135.87 gamma=64.18
With the nearest neighbours (Å) after each atom.
Fractional positions:
Zr 0.1264 0.1264 0.0000  1 Zr 2.85, 4 Te 2.86
Zr 0.8736 0.8736 0.0000  1 Zr 2.85, 4 Te 2.86
Al 0.5000 0.5000 0.0000  8 Te 3.76, 10 Zr 3.81-4.21
Te 0.2500 0.7500 0.5000  4 Zr 2.86
Te 0.7500 0.2500 0.5000  4 Zr 2.86

# 6
Here is KAsSe2Br after structural relaxation from Alexandria via LeMat-Bulk. Energies are from GGA-PBEsol.

Output
Symmetry: P4/mmm (123)
Formation energy from raw total energies, kcal/mol of atoms: 29.0

Unit cell a=5.9951 b=5.9951 c=6.2748 alpha=90.00 beta=90.00 gamma=90.00
With the nearest neighbours (Å) after each atom.
Fractional positions:
K 0.0000 0.0000 0.0000  4 Se 3.00, 2 As 3.14
As 0.0000 0.0000 0.5000  2 K 3.14
Se 0.0000 0.5000 0.0000  2 K 3.00
Se 0.5000 0.0000 0.0000  2 K 3.00
Br 0.5000 0.5000 0.5000  4 As 4.24, 8 Se 4.34

# 7
Here is SiHgCl after structural relaxation from Alexandria via LeMat-Bulk. Energies are from GGA-PBEsol.

Output
Symmetry: P3m1 (156)
Formation energy from raw total energies, kcal/mol of atoms: 5.0

Unit cell a=4.7047 b=4.7047 c=3.2023 alpha=90.00 beta=90.00 gamma=120.00
With the nearest neighbours (Å) after each atom.
Fractional positions:
Si 0.0000 0.0000 0.0000  3 Cl 2.76, 3 Hg 2.94
Hg 0.6667 0.3333 0.3547  3 Si 2.94, 6 Cl 3.15-3.16, 2 Hg 3.20
Cl 0.3333 0.6667 0.8516  3 Si 2.76

# 8
Here is GaHgAs3 after structural relaxation from Alexandria via LeMat-Bulk. Energies are from GGA-PBEsol.

Output
Symmetry: Pm-3m (221)
Formation energy from the elements, kcal/mol of atoms: 16.510

Unit cell a=4.8724 b=4.8724 c=4.8724 alpha=90.00 beta=90.00 gamma=90.00
With the nearest neighbours (Å) after each atom.
Fractional positions:
Ga 0.0000 0.0000 0.0000  6 As 2.44
Hg 0.5000 0.5000 0.5000  12 As 3.45
As 0.0000 0.0000 0.5000  2 Ga 2.44
As 0.0000 0.5000 0.0000  2 Ga 2.44
As 0.5000 0.0000 0.0000  2 Ga 2.44